MgHg2Pb | GGA-PBEsol | optimized geometry

Lattice parameters (Å, degrees): 3.448 3.448 9.531 79.58 79.58 60.00
Atoms (fractional coordinates):
Pb: 0.000 0.000 0.000
Mg: 0.500 0.500 0.500
Hg: 0.242 0.242 0.275
Hg: 0.758 0.758 0.725

Properties
- size of the total moment (μB/cell) = 0.0
- electronic total energy (eV/cell) = -7.31
- space group = R-3m (166)